[1]
# NaCdAg2Cl5

NaCdAg2Cl5 after structural relaxation (PBE, Alexandria).

## Properties
Raw formation energy   -21.20 kcal/mol of atoms
Total energy   -50.9 eV per cell

Unit cell a=8.5687 b=8.5687 c=13.6398 alpha=90.00 beta=90.00 gamma=152.78
Closest atoms and distances in Å follow each position.
Atoms (fractional coordinates):
1 Na 0.0917 0.9083 0.5000  5 Cl 2.75-2.99
2 Na 0.9083 0.0917 0.0000  5 Cl 2.75-2.99
3 Cd 0.2116 0.7884 0.1056  6 Cl 2.56-2.78
4 Cd 0.7884 0.2116 0.6056  6 Cl 2.56-2.78
5 Ag 0.3737 0.6263 0.3272  4 Cl 2.59-2.75
6 Ag 0.4606 0.5394 0.7248  5 Cl 2.72-2.75
7 Ag 0.5394 0.4606 0.2248  5 Cl 2.72-2.75
8 Ag 0.6263 0.3737 0.8272  4 Cl 2.59-2.75
9 Cl 0.0149 0.9851 0.8442  4 Ag 2.75, 1 Na 2.77
10 Cl 0.0582 0.9418 0.0929  1 Cd 2.56, 2 Ag 2.72, 1 Na 2.80
11 Cl 0.2693 0.7307 0.4678  1 Ag 2.59, 2 Cd 2.78
12 Cl 0.2963 0.7037 0.7364  2 Cd 2.70, 1 Ag 2.74
13 Cl 0.3675 0.6325 0.1274  1 Cd 2.61, 1 Ag 2.73, 2 Na 2.75
14 Cl 0.6325 0.3675 0.6274  1 Cd 2.61, 1 Ag 2.73, 2 Na 2.75
15 Cl 0.7037 0.2963 0.2364  2 Cd 2.70, 1 Ag 2.74
16 Cl 0.7307 0.2693 0.9678  1 Ag 2.59, 2 Cd 2.78
17 Cl 0.9418 0.0582 0.5929  1 Cd 2.56, 2 Ag 2.72, 1 Na 2.80
18 Cl 0.9851 0.0149 0.3442  4 Ag 2.75, 1 Na 2.77

=====

[2]
# CdNiAg2Cl6

CdNiAg2Cl6 after structural relaxation (PBE, Alexandria).

## Properties
Raw formation energy   -14.24 kcal/mol of atoms
Total energy   -29.7 eV per cell

Unit cell a=6.9685 b=6.9685 c=6.9685 alpha=57.44 beta=57.44 gamma=57.44
Closest atoms and distances in Å follow each position.
Atoms (fractional coordinates):
1 Cd 0.0000 0.0000 0.0000  6 Cl 2.65-2.72
2 Ni 0.4963 0.4963 0.4963  6 Cl 2.42-2.44
3 Ag 0.2735 0.2735 0.2735  3 Cl 2.60
4 Ag 0.7830 0.7830 0.7830  3 Cl 2.60
5 Cl 0.1357 0.7164 0.3846  1 Ni 2.44, 1 Ag 2.60, 1 Cd 2.65
6 Cl 0.2525 0.6103 0.8540  1 Ni 2.42, 1 Ag 2.60
7 Cl 0.3846 0.1357 0.7164  1 Ni 2.44, 1 Ag 2.60, 1 Cd 2.65
8 Cl 0.6103 0.8540 0.2525  1 Ni 2.42, 1 Ag 2.60
9 Cl 0.7164 0.3846 0.1357  1 Ni 2.44, 1 Ag 2.60, 1 Cd 2.65
10 Cl 0.8540 0.2525 0.6103  1 Ni 2.42, 1 Ag 2.60

=====

[3]
# CdNiAgCl6

CdNiAgCl6 after structural relaxation (PBE, Alexandria).

## Properties
Raw formation energy   -14.82 kcal/mol of atoms
Total energy   -52.8 eV per cell

Unit cell a=6.4113 b=6.4113 c=11.5953 alpha=90.00 beta=90.00 gamma=120.00
Closest atoms and distances in Å follow each position.
Atoms (fractional coordinates):
1 Cd 0.3333 0.6667 0.2500  6 Cl 2.65
2 Cd 0.6667 0.3333 0.7500  6 Cl 2.65
3 Ni 0.3333 0.6667 0.7500  6 Cl 2.34
4 Ni 0.6667 0.3333 0.2500  6 Cl 2.34
5 Ag 0.0000 0.0000 0.0000  6 Cl 2.73
6 Ag 0.0000 0.0000 0.5000  6 Cl 2.73
7 Cl 0.0384 0.3700 0.6321  1 Ni 2.34
8 Cl 0.0384 0.6684 0.8679  1 Ni 2.34
9 Cl 0.3316 0.3700 0.8679  1 Ni 2.34
10 Cl 0.3316 0.9616 0.6321  1 Ni 2.34
11 Cl 0.3700 0.0384 0.1321  1 Ni 2.34
12 Cl 0.3700 0.3316 0.3679  1 Ni 2.34
13 Cl 0.6300 0.6684 0.6321  1 Ni 2.34
14 Cl 0.6300 0.9616 0.8679  1 Ni 2.34
15 Cl 0.6684 0.0384 0.3679  1 Ni 2.34
16 Cl 0.6684 0.6300 0.1321  1 Ni 2.34
17 Cl 0.9616 0.3316 0.1321  1 Ni 2.34
18 Cl 0.9616 0.6300 0.3679  1 Ni 2.34

=====

[4]
# Cd2Ag3Cl3O2

Cd2Ag3Cl3O2 after structural relaxation (PBE, Alexandria).

## Properties
Raw formation energy   -13.45 kcal/mol of atoms
Total energy   -31.7 eV per cell

Unit cell a=11.2299 b=11.2299 c=11.2299 alpha=157.57 beta=157.57 gamma=31.94
Closest atoms and distances in Å follow each position.
Atoms (fractional coordinates):
1 Cd 0.2500 0.7500 0.5000  4 O 2.27
2 Cd 0.7500 0.2500 0.5000  4 O 2.27
3 Ag 0.0000 0.0000 0.0000  2 Cl 2.59
4 Ag 0.3847 0.3847 0.0000  1 O 2.28, 1 Cl 2.49
5 Ag 0.6153 0.6153 0.0000  1 O 2.28, 1 Cl 2.49
6 Cl 0.1200 0.1200 0.0000  1 Ag 2.59
7 Cl 0.5000 0.5000 0.0000  2 Ag 2.49
8 Cl 0.8800 0.8800 0.0000  1 Ag 2.59
9 O 0.2792 0.2792 0.0000  4 Cd 2.27, 1 Ag 2.28
10 O 0.7208 0.7208 0.0000  4 Cd 2.27, 1 Ag 2.28

=====

[5]
# CdAgClO

CdAgClO after structural relaxation (PBE, Alexandria).

## Properties
Raw formation energy   -13.63 kcal/mol of atoms
Total energy   -25.9 eV per cell

Unit cell a=12.2916 b=12.2916 c=12.2916 alpha=18.70 beta=18.70 gamma=18.70
Closest atoms and distances in Å follow each position.
Atoms (fractional coordinates):
1 Cd 0.1995 0.1995 0.1995  4 O 2.31-2.36
2 Cd 0.8005 0.8005 0.8005  4 O 2.31-2.36
3 Ag 0.4099 0.4099 0.4099  3 Cl 2.53
4 Ag 0.5901 0.5901 0.5901  3 Cl 2.53
5 Cl 0.2854 0.2854 0.2854  3 Ag 2.53
6 Cl 0.7146 0.7146 0.7146  3 Ag 2.53
7 O 0.1345 0.1345 0.1345  4 Cd 2.31-2.36
8 O 0.8655 0.8655 0.8655  4 Cd 2.31-2.36

=====

[6]
# CdAgPCl2

CdAgPCl2 after structural relaxation (PBE, Alexandria).

## Properties
Offset from the most stable computed form   0 meV per atom
Raw formation energy   5.99 kcal/mol of atoms
Total energy   -11.6 eV per cell

Unit cell a=5.2797 b=5.2797 c=5.1121 alpha=90.00 beta=90.00 gamma=90.00
Closest atoms and distances in Å follow each position.
Atoms (fractional coordinates):
1 Cd 0.0000 0.0000 0.0000  2 P 2.56, 4 Cl 2.64
2 Ag 0.5000 0.5000 0.5000  8 Cl 3.67, 4 P 3.73
3 P 0.0000 0.0000 0.5000  2 Cd 2.56
4 Cl 0.0000 0.5000 0.0000  2 Cd 2.64
5 Cl 0.5000 0.0000 0.0000  2 Cd 2.64

=====

[7]
# CdAg2PbCl6

CdAg2PbCl6 after structural relaxation (PBE, Alexandria).

## Properties
Raw formation energy   -19.16 kcal/mol of atoms
Total energy   -29.7 eV per cell

Unit cell a=6.9706 b=7.0233 c=7.5983 alpha=63.25 beta=63.64 gamma=60.53
Closest atoms and distances in Å follow each position.
Atoms (fractional coordinates):
1 Cd 0.0000 0.0000 0.0000  6 Cl 2.64-2.70
2 Ag 0.2548 0.2621 0.2222  3 Cl 2.53-2.54
3 Ag 0.6930 0.6825 0.9391  5 Cl 2.64-2.95
4 Pb 0.4855 0.4870 0.5382  6 Cl 2.82-3.04
5 Cl 0.0831 0.3824 0.7628  1 Cd 2.65, 1 Ag 2.70, 1 Pb 2.82
6 Cl 0.2403 0.8990 0.2419  1 Ag 2.54, 1 Cd 2.66
7 Cl 0.3888 0.7622 0.7728  1 Ag 2.64, 1 Cd 2.67, 1 Pb 2.85
8 Cl 0.6185 0.2556 0.2284  1 Ag 2.53, 1 Cd 2.70
9 Cl 0.7641 0.0768 0.7666  1 Cd 2.64, 1 Ag 2.67, 1 Pb 2.84
10 Cl 0.8926 0.6210 0.2253  2 Ag 2.54-2.85, 1 Cd 2.70

=====

[8]
# CdAg2PdCl6

CdAg2PdCl6 after structural relaxation (PBE, Alexandria).

## Properties
Raw formation energy   -13.85 kcal/mol of atoms
Total energy   -28.9 eV per cell

Unit cell a=6.3051 b=6.8485 c=7.1079 alpha=114.02 beta=111.67 gamma=90.04
Closest atoms and distances in Å follow each position.
Atoms (fractional coordinates):
1 Cd 0.0000 0.0000 0.0000  3 Cl 2.48-2.77
2 Ag 0.3182 0.9250 0.5723  5 Cl 2.59-2.83
3 Ag 0.7532 0.4063 0.5307  5 Cl 2.61-2.86
4 Pd 0.4898 0.4958 0.9802  4 Cl 2.33-2.35
5 Cl 0.0519 0.1885 0.3995  1 Cd 2.48, 1 Ag 2.61
6 Cl 0.2875 0.7423 0.1512  1 Pd 2.33
7 Cl 0.4079 0.2698 0.1263  1 Pd 2.33
8 Cl 0.5779 0.7122 0.8261  1 Pd 2.34
9 Cl 0.6922 0.2441 0.8078  1 Pd 2.35
10 Cl 0.9506 0.7917 0.5996  1 Cd 2.50, 2 Ag 2.59-2.69

=====

[9]
# CdAgPdCl6

CdAgPdCl6 after structural relaxation (PBE, Alexandria).

## Properties
Raw formation energy   -14.01 kcal/mol of atoms
Total energy   -51.0 eV per cell

Unit cell a=6.5148 b=6.5148 c=11.7783 alpha=90.00 beta=90.00 gamma=120.00
Closest atoms and distances in Å follow each position.
Atoms (fractional coordinates):
1 Cd 0.3333 0.6667 0.2500  6 Cl 2.66
2 Cd 0.6667 0.3333 0.7500  6 Cl 2.66
3 Ag 0.0000 0.0000 0.0000  6 Cl 2.74
4 Ag 0.0000 0.0000 0.5000  6 Cl 2.74
5 Pd 0.3333 0.6667 0.7500  6 Cl 2.45
6 Pd 0.6667 0.3333 0.2500  6 Cl 2.45
7 Cl 0.0261 0.3603 0.6300  1 Pd 2.45, 1 Cd 2.66, 1 Ag 2.74
8 Cl 0.0261 0.6659 0.8700  1 Pd 2.45, 1 Cd 2.66, 1 Ag 2.74
9 Cl 0.3341 0.3603 0.8700  1 Pd 2.45, 1 Cd 2.66, 1 Ag 2.74
10 Cl 0.3341 0.9739 0.6300  1 Pd 2.45, 1 Cd 2.66, 1 Ag 2.74
11 Cl 0.3603 0.0261 0.1300  1 Pd 2.45, 1 Cd 2.66, 1 Ag 2.74
12 Cl 0.3603 0.3341 0.3700  1 Pd 2.45, 1 Cd 2.66, 1 Ag 2.74
13 Cl 0.6397 0.6659 0.6300  1 Pd 2.45, 1 Cd 2.66, 1 Ag 2.74
14 Cl 0.6397 0.9739 0.8700  1 Pd 2.45, 1 Cd 2.66, 1 Ag 2.74
15 Cl 0.6659 0.0261 0.3700  1 Pd 2.45, 1 Cd 2.66, 1 Ag 2.74
16 Cl 0.6659 0.6397 0.1300  1 Pd 2.45, 1 Cd 2.66, 1 Ag 2.74
17 Cl 0.9739 0.3341 0.1300  1 Pd 2.45, 1 Cd 2.66, 1 Ag 2.74
18 Cl 0.9739 0.6397 0.3700  1 Pd 2.45, 1 Cd 2.66, 1 Ag 2.74

=====

[10]
# CdAgPtCl6

CdAgPtCl6 after structural relaxation (PBE, Alexandria).

## Properties
Raw formation energy   -13.40 kcal/mol of atoms
Total energy   -52.2 eV per cell

Unit cell a=6.5433 b=6.5433 c=11.8545 alpha=90.00 beta=90.00 gamma=120.00
Closest atoms and distances in Å follow each position.
Atoms (fractional coordinates):
1 Cd 0.3333 0.6667 0.2500  6 Cl 2.67
2 Cd 0.6667 0.3333 0.7500  6 Cl 2.67
3 Ag 0.0000 0.0000 0.0000  6 Cl 2.77
4 Ag 0.0000 0.0000 0.5000  6 Cl 2.77
5 Pt 0.3333 0.6667 0.7500  6 Cl 2.44
6 Pt 0.6667 0.3333 0.2500  6 Cl 2.44
7 Cl 0.0272 0.3638 0.6313  1 Pt 2.44, 1 Cd 2.67
8 Cl 0.0272 0.6634 0.8687  1 Pt 2.44, 1 Cd 2.67
9 Cl 0.3366 0.3638 0.8687  1 Pt 2.44, 1 Cd 2.67
10 Cl 0.3366 0.9728 0.6313  1 Pt 2.44, 1 Cd 2.67
11 Cl 0.3638 0.0272 0.1313  1 Pt 2.44, 1 Cd 2.67
12 Cl 0.3638 0.3366 0.3687  1 Pt 2.44, 1 Cd 2.67
13 Cl 0.6362 0.6634 0.6313  1 Pt 2.44, 1 Cd 2.67
14 Cl 0.6362 0.9728 0.8687  1 Pt 2.44, 1 Cd 2.67
15 Cl 0.6634 0.0272 0.3687  1 Pt 2.44, 1 Cd 2.67
16 Cl 0.6634 0.6362 0.1313  1 Pt 2.44, 1 Cd 2.67
17 Cl 0.9728 0.3366 0.1313  1 Pt 2.44, 1 Cd 2.67
18 Cl 0.9728 0.6362 0.3687  1 Pt 2.44, 1 Cd 2.67

=====

[11]
# Cd2AgPtCl

Cd2AgPtCl after structural relaxation (PBE, Alexandria).

## Properties
Raw formation energy   15.64 kcal/mol of atoms
Total energy   -9.2 eV per cell

Unit cell a=5.1892 b=5.1892 c=4.6861 alpha=90.00 beta=90.00 gamma=90.00
Closest atoms and distances in Å follow each position.
Atoms (fractional coordinates):
1 Cd 0.0000 0.5000 0.0000  2 Cl 2.59
2 Cd 0.5000 0.0000 0.0000  2 Cl 2.59
3 Ag 0.0000 0.0000 0.5000  2 Cl 2.34
4 Pt 0.5000 0.5000 0.5000  8 Cd 3.50, 4 Ag 3.67
5 Cl 0.0000 0.0000 0.0000  2 Ag 2.34, 4 Cd 2.59

=====

[12]
# PuCdAgCl6

PuCdAgCl6 after structural relaxation (PBE, Alexandria).

## Properties
Raw formation energy   -29.35 kcal/mol of atoms
Total energy   -81.3 eV per cell

Unit cell a=6.8711 b=6.8711 c=12.1739 alpha=90.00 beta=90.00 gamma=120.00
Closest atoms and distances in Å follow each position.
Atoms (fractional coordinates):
1 Pu 0.3333 0.6667 0.2500  6 Cl 2.74
2 Pu 0.6667 0.3333 0.7500  6 Cl 2.74
3 Cd 0.3333 0.6667 0.7500  6 Cl 2.67
4 Cd 0.6667 0.3333 0.2500  6 Cl 2.67
5 Ag 0.0000 0.0000 0.0000  6 Cl 2.82
6 Ag 0.0000 0.0000 0.5000  6 Cl 2.82
7 Cl 0.0072 0.3461 0.6279  1 Cd 2.67, 1 Pu 2.74, 1 Ag 2.82
8 Cl 0.0072 0.6610 0.8721  1 Cd 2.67, 1 Pu 2.74, 1 Ag 2.82
9 Cl 0.3390 0.3461 0.8721  1 Cd 2.67, 1 Pu 2.74, 1 Ag 2.82
10 Cl 0.3390 0.9928 0.6279  1 Cd 2.67, 1 Pu 2.74, 1 Ag 2.82
11 Cl 0.3461 0.0072 0.1279  1 Cd 2.67, 1 Pu 2.74, 1 Ag 2.82
12 Cl 0.3461 0.3390 0.3721  1 Cd 2.67, 1 Pu 2.74, 1 Ag 2.82
13 Cl 0.6539 0.6610 0.6279  1 Cd 2.67, 1 Pu 2.74, 1 Ag 2.82
14 Cl 0.6539 0.9928 0.8721  1 Cd 2.67, 1 Pu 2.74, 1 Ag 2.82
15 Cl 0.6610 0.0072 0.3721  1 Cd 2.67, 1 Pu 2.74, 1 Ag 2.82
16 Cl 0.6610 0.6539 0.1279  1 Cd 2.67, 1 Pu 2.74, 1 Ag 2.82
17 Cl 0.9928 0.3390 0.1279  1 Cd 2.67, 1 Pu 2.74, 1 Ag 2.82
18 Cl 0.9928 0.6539 0.3721  1 Cd 2.67, 1 Pu 2.74, 1 Ag 2.82